Computed, not measured: a relaxed structure of La3CdRh at the PBE level of DFT.

DOS at the Fermi energy = 0.94 states/eV/atom
electronic total energy = -5.06 eV per atom
total magnetization = 0.00 μB/f.u.
formation energy = -450 meV/atom

Lattice parameters (Å, degrees): 5.665 6.688 9.530 109.99 90.08 114.95
Space group P-1 (No. 2)
Inequivalent atoms, fractional coordinates:
La  0.123  0.245  0.263
La  0.149  0.297  0.652
La  0.373  0.747  0.073
Cd  0.406  0.813  0.560
Rh  0.113  0.224  0.946

Computed, not measured: a relaxed structure of La4Cd2Rh at the PBE level of DFT.

DOS at the Fermi energy = 1.33 states/eV/atom
electronic total energy = -4.40 eV per atom
total magnetization = 0.00 μB/f.u.
formation energy = -272 meV/atom

Lattice parameters (Å, degrees): 5.499 5.499 16.028 90.00 90.00 90.00
Space group I4/mmm (No. 139)
Inequivalent atoms, fractional coordinates:
La  0.000  0.000  0.183
La  0.000  0.500  0.000
Cd  0.000  0.000  0.378
Rh  0.000  0.000  0.000

Computed, not measured: a relaxed structure of La6Cd2Rh at the PBE level of DFT.

DOS at the Fermi energy = 1.15 states/eV/atom
electronic total energy = -4.65 eV per atom
total magnetization = 0.00 μB/f.u.
formation energy = -344 meV/atom

Lattice parameters (Å, degrees): 9.1809 9.1809 3.8290 90.00 90.00 120.00
Space group P-62m (No. 189)
Inequivalent atoms, fractional coordinates:
La  0.0000  0.4011  0.0000
La  0.0000  0.7600  0.5000
Cd  0.3333  0.6667  0.5000
Rh  0.0000  0.0000  0.0000

Computed, not measured: a relaxed structure of La3CdRh at the PBE level of DFT.

DOS at the Fermi energy = 0.96 states/eV/atom
electronic total energy = -5.04 eV per atom
total magnetization = 0.00 μB/f.u.
formation energy = -434 meV/atom

Lattice parameters (Å, degrees): 16.780 4.091 10.963 90.00 125.55 90.00
Space group C2/m (No. 12)
Inequivalent atoms, fractional coordinates:
La  0.088  0.000  0.457
La  0.140  0.500  0.220
La  0.168  0.500  0.806
Cd  0.066  0.000  0.924
Rh  0.231  0.500  0.582

Computed, not measured: a relaxed structure of La6Cd5Rh at the PBE level of DFT.

DOS at the Fermi energy = 0.94 states/eV/atom
electronic total energy = -3.85 eV per atom
total magnetization = 0.00 μB/f.u.
formation energy = -395 meV/atom

Lattice parameters (Å, degrees): 17.153 7.834 5.449 90.00 108.36 90.00
Space group C2/m (No. 12)
Inequivalent atoms, fractional coordinates:
La  0.000  0.223  0.000
La  0.152  0.229  0.651
Cd  0.000  0.500  0.500
Cd  0.169  0.500  0.167
Cd  0.190  0.000  0.188
Rh  0.000  0.000  0.500

Computed, not measured: a relaxed structure of La7Cd2Rh2 at the PBE level of DFT.

DOS at the Fermi energy = 1.27 states/eV/atom
electronic total energy = -4.99 eV per atom
total magnetization = 0.00 μB/f.u.
formation energy = -351 meV/atom

Lattice parameters (Å, degrees): 8.295 11.621 7.401 90.00 90.00 90.00
Space group Cmmm (No. 65)
Inequivalent atoms, fractional coordinates:
La  0.000  0.000  0.000
La  0.000  0.500  0.244
La  0.250  0.250  0.255
Cd  0.169  0.000  0.500
Rh  0.000  0.289  0.000

Computed, not measured: a relaxed structure of LaCdRh2 at the PBE level of DFT.

DOS at the Fermi energy = 1.35 states/eV/atom
electronic total energy = -4.89 eV per atom
total magnetization = 0.90 μB/f.u.
formation energy = 250 meV/atom

Lattice parameters (Å, degrees): 3.0480 3.0480 29.6697 90.00 90.00 120.00
Space group R3m (No. 160, hexagonal axes)
Inequivalent atoms, fractional coordinates:
La  0.0000  0.0000  0.0000
Cd  0.0000  0.0000  0.7709
Rh  0.0000  0.0000  0.2496
Rh  0.0000  0.0000  0.5134

Computed, not measured: a relaxed structure of LaCdRh2 at the PBE level of DFT.

DOS at the Fermi energy = 1.33 states/eV/atom
electronic total energy = -5.22 eV per atom
total magnetization = 0.00 μB/f.u.
formation energy = -85 meV/atom

Lattice parameters (Å, degrees): 6.878 6.878 6.878 90.00 90.00 90.00
Space group F-43m (No. 216)
Inequivalent atoms, fractional coordinates:
La  0.000  0.000  0.000
Cd  0.250  0.250  0.750
Rh  0.000  0.000  0.500
Rh  0.250  0.250  0.250

Computed, not measured: a relaxed structure of La6CdRh4 at the PBE level of DFT.

DOS at the Fermi energy = 0.66 states/eV/atom
electronic total energy = -6.05 eV per atom
total magnetization = 0.00 μB/f.u.
formation energy = -608 meV/atom

Lattice parameters (Å, degrees): 4.210 13.971 21.485 90.00 90.00 90.00
Space group Cmcm (No. 63)
Inequivalent atoms, fractional coordinates:
La  0.000  0.000  0.000
La  0.000  0.154  0.250
La  0.000  0.267  0.584
La  0.000  0.463  0.152
Cd  0.000  0.158  0.750
Rh  0.000  0.100  0.129
Rh  0.000  0.363  0.042

Computed, not measured: a relaxed structure of LaCd11Rh at the PBE level of DFT.

DOS at the Fermi energy = 0.40 states/eV/atom
electronic total energy = -1.88 eV per atom
total magnetization = 0.00 μB/f.u.
formation energy = -166 meV/atom

Lattice parameters (Å, degrees): 5.652 14.347 7.666 90.00 111.10 90.00
Space group C2/m (No. 12)
Inequivalent atoms, fractional coordinates:
La  0.000  0.000  0.000
Cd  0.000  0.000  0.500
Cd  0.100  0.396  0.217
Cd  0.196  0.169  0.360
Cd  0.250  0.250  0.000
Rh  0.000  0.500  0.500

Computed, not measured: a relaxed structure of LaCd3Rh at the PBE level of DFT.

DOS at the Fermi energy = 0.38 states/eV/atom
electronic total energy = -3.42 eV per atom
total magnetization = 0.00 μB/f.u.
formation energy = -414 meV/atom

Lattice parameters (Å, degrees): 5.459 5.934 7.598 90.00 109.80 90.00
Space group P2_1/m (No. 11)
Inequivalent atoms, fractional coordinates:
La  0.101  0.250  0.402
Cd  0.050  0.250  0.889
Cd  0.476  0.504  0.190
Rh  0.317  0.750  0.477

Which value of electronic total energy does entry 5 give?
-3.85 eV per atom

electronic total energy of number 11 (LaCd3Rh)?
-3.42 eV per atom

Which of these has the lowest DOS at the Fermi energy?
LaCd3Rh